Pm2TiAl4Au3, optimized geometry, DFT PBE; D(E_F) = 6.7 states/eV per cell; crystal system = tetragonal; uncorrected energy = -4.8395 eV/atom; calculated formation energy = -620 meV/atom; magnetization = 0.00 μB/cell
1.0
4.278 0.000 0.000
0.000 4.278 0.000
0.000 0.000 11.196
Pm Ti Al Au
2 1 4 3
Cartesian
0.000 2.139 2.790
2.139 0.000 8.407
2.139 2.139 0.000
0.000 0.000 5.598
0.000 2.139 9.601
2.139 0.000 1.595
2.139 2.139 5.598
0.000 0.000 0.000
0.000 2.139 7.067
2.139 0.000 4.129